No. 1
VASP calculation (PBE) on a relaxed structure of Ac2P4IrRh3.

Properties
E_form, eV/atom: -1.002
SG: P-4m2
Crystal system: tetragonal

abc: 4.2748 4.2748 9.8194
angles: 90.00 90.00 90.00
Sites, in units of the cell vectors:
Ac 0.0000 0.5000 0.2417
Ac 0.5000 0.0000 0.7583
P 0.0000 0.0000 0.0000
P 0.0000 0.5000 0.6348
P 0.5000 0.0000 0.3652
P 0.5000 0.5000 0.0000
Ir 0.0000 0.0000 0.5000
Rh 0.0000 0.5000 0.8910
Rh 0.5000 0.0000 0.1090
Rh 0.5000 0.5000 0.5000

---

No. 2
VASP calculation (PBE) on a relaxed structure of PrDy2Tm8.

Properties
E_form, eV/atom: 0.105
SG: C2/m
Crystal system: monoclinic

abc: 9.0179 9.0179 8.2796
angles: 115.21 115.21 34.81
Sites, in units of the cell vectors:
Pr 0.0000 0.0000 0.0000
Dy 0.2987 0.2987 0.3420
Dy 0.7013 0.7013 0.6580
Tm 0.1178 0.1178 0.4447
Tm 0.1669 0.1669 0.8934
Tm 0.3401 0.3401 0.8012
Tm 0.4812 0.4812 0.2778
Tm 0.5188 0.5188 0.7222
Tm 0.6599 0.6599 0.1988
Tm 0.8331 0.8331 0.1066
Tm 0.8822 0.8822 0.5553

---

No. 3
VASP calculation (PBE) on a relaxed structure of Y2CdAs.

Properties
E_form, eV/atom: -0.844
Distance to the lowest polymorph of the same formula, meV per atom: 0
SG: R-3m
Crystal system: trigonal

abc: 4.0178 4.0178 23.3328
angles: 90.00 90.00 120.00
Sites, in units of the cell vectors:
Y 0.0000 0.0000 0.2375
Y 0.0000 0.0000 0.7625
Y 0.3333 0.6667 0.4291
Y 0.3333 0.6667 0.9042
Y 0.6667 0.3333 0.0958
Y 0.6667 0.3333 0.5709
Cd 0.0000 0.0000 0.0000
Cd 0.3333 0.6667 0.6667
Cd 0.6667 0.3333 0.3333
As 0.0000 0.0000 0.5000
As 0.3333 0.6667 0.1667
As 0.6667 0.3333 0.8333

---

No. 4
VASP calculation (PBE) on a relaxed structure of Ta2HgOs.

Properties
E_form, eV/atom: 0.600
SG: I-42d
Crystal system: tetragonal

abc: 7.5535 7.5535 5.5672
angles: 90.00 90.00 90.00
Sites, in units of the cell vectors:
Ta 0.2014 0.7500 0.1250
Ta 0.2500 0.2014 0.8750
Ta 0.2500 0.2986 0.3750
Ta 0.2986 0.7500 0.6250
Ta 0.7014 0.2500 0.6250
Ta 0.7500 0.7014 0.3750
Ta 0.7500 0.7986 0.8750
Ta 0.7986 0.2500 0.1250
Hg 0.0000 0.0000 0.5000
Hg 0.0000 0.5000 0.7500
Hg 0.5000 0.0000 0.2500
Hg 0.5000 0.5000 0.0000
Os 0.0000 0.0000 0.0000
Os 0.0000 0.5000 0.2500
Os 0.5000 0.0000 0.7500
Os 0.5000 0.5000 0.5000

---

No. 5
VASP calculation (PBE) on a relaxed structure of YH2F.

Properties
Distance to the lowest polymorph of the same formula, meV per atom: 0
SG: Fm-3m
Crystal system: cubic

abc: 5.3452 5.3452 5.3452
angles: 90.00 90.00 90.00
Sites, in units of the cell vectors:
Y 0.0000 0.0000 0.0000
Y 0.0000 0.5000 0.5000
Y 0.5000 0.0000 0.5000
Y 0.5000 0.5000 0.0000
H 0.2500 0.2500 0.2500
H 0.2500 0.2500 0.7500
H 0.2500 0.7500 0.2500
H 0.2500 0.7500 0.7500
H 0.7500 0.2500 0.2500
H 0.7500 0.2500 0.7500
H 0.7500 0.7500 0.2500
H 0.7500 0.7500 0.7500
F 0.0000 0.0000 0.5000
F 0.0000 0.5000 0.0000
F 0.5000 0.0000 0.0000
F 0.5000 0.5000 0.5000

---

No. 6
VASP calculation (PBE) on a relaxed structure of K2BaNi.

Properties
E_form, eV/atom: 0.500
Distance to the lowest polymorph of the same formula, meV per atom: 253
SG: I-4m2
Crystal system: tetragonal

abc: 6.0183 6.0183 8.5614
angles: 90.00 90.00 90.00
Sites, in units of the cell vectors:
K 0.0000 0.0000 0.0000
K 0.0000 0.5000 0.2500
K 0.5000 0.0000 0.7500
K 0.5000 0.5000 0.5000
Ba 0.0000 0.0000 0.5000
Ba 0.5000 0.5000 0.0000
Ni 0.0000 0.5000 0.7500
Ni 0.5000 0.0000 0.2500

---

No. 7
VASP calculation (PBE) on a relaxed structure of Sr4Nd3Te8.

Properties
Uncorrected formation energy, meV/atom: -1459
SG: R-3m
Crystal system: trigonal

abc: 10.0009 10.0009 10.0009
angles: 54.32 54.32 54.32
Sites, in units of the cell vectors:
Sr 0.0000 0.0000 0.0000
Sr 0.1461 0.1461 0.1461
Sr 0.5000 0.5000 0.5000
Sr 0.8539 0.8539 0.8539
Nd 0.0000 0.5000 0.5000
Nd 0.5000 0.0000 0.5000
Nd 0.5000 0.5000 0.0000
Te 0.2491 0.2491 0.7324
Te 0.2491 0.7324 0.2491
Te 0.2677 0.2677 0.2677
Te 0.2676 0.7509 0.7509
Te 0.7324 0.2491 0.2491
Te 0.7323 0.7323 0.7323
Te 0.7509 0.2676 0.7509
Te 0.7509 0.7509 0.2676

---

No. 8
VASP calculation (PBE) on a relaxed structure of PmTm3Te2.

Properties
Uncorrected formation energy, meV/atom: -835
SG: C2/m
Crystal system: monoclinic

abc: 8.4140 8.4140 11.2826
angles: 108.78 108.78 28.27
Sites, in units of the cell vectors:
Pm 0.1197 0.1197 0.0455
Pm 0.8803 0.8803 0.9545
Tm 0.0598 0.0598 0.4044
Tm 0.2838 0.2838 0.6206
Tm 0.3759 0.3759 0.3403
Tm 0.6241 0.6241 0.6597
Tm 0.7162 0.7162 0.3794
Tm 0.9402 0.9402 0.5956
Te 0.2277 0.2277 0.8536
Te 0.4842 0.4842 0.8273
Te 0.5158 0.5158 0.1727
Te 0.7723 0.7723 0.1464

---

> Which formula does entry 5 have?

YH2F

---

> Which formula does entry 2 have?

PrDy2Tm8